Here is a relaxed KRe2Ir crystal from Alexandria via LeMat-Bulk. Energies are from PBE-GGA.

## Properties
total energy	-7.81	eV/atom
energy above the most stable polymorph in this dataset	1.201	eV per formula unit
space-group type	Cmmm, No. 65

Unit cell a=2.721 b=2.721 c=10.664 alpha=90.00 beta=90.00 gamma=116.89
Atoms (fractional coordinates):
K1 0.000 0.000 0.000
Re1 0.500 0.500 0.286
Re2 0.500 0.500 0.714
Ir1 0.000 0.000 0.500